Compound: Na2AlI
Source: Alexandria via LeMat-Bulk
Functional: PBE
Structure: relaxed

Computed properties:
E_form (uncorrected) in eV/atom: -0.123
E above lowest polymorph in meV per atom: 0
Spin magnetization in μB per atom: 0.000
D(E_F) in states/eV/atom: 0.09

Structure (POSCAR):
```
Na2AlI
1.0
-7.438 -4.203 0.888
4.162 -6.608 3.576
-2.077 -3.956 5.423
Al Na I
2 4 2
Direct
0.500 0.500 0.000
0.250 0.750 0.500
0.633 0.125 0.250
0.375 0.367 0.750
0.117 0.625 0.250
0.875 0.883 0.750
0.750 0.250 0.500
0.000 0.000 0.000
```



Compound: KGePb2O4
Source: Alexandria via LeMat-Bulk
Functional: PBE
Structure: relaxed

Computed properties:
E_form (uncorrected) in eV/atom: -1.250
Spin magnetization in μB per atom: 0.000
D(E_F) in states/eV/atom: 0.18

Structure (POSCAR):
```
KGePb2O4
1.0
5.577 -0.451 0.000
-0.912 5.521 0.000
-2.333 -2.535 5.063
Ge K O Pb
1 1 4 2
Direct
0.487 0.487 0.973
0.046 0.046 0.092
0.592 0.592 0.760
0.169 0.169 0.760
0.751 0.409 0.160
0.409 0.751 0.160
0.274 0.774 0.548
0.774 0.274 0.548
```



Compound: PaH3
Source: Alexandria via LeMat-Bulk
Functional: PBE
Structure: relaxed

Computed properties:
E above lowest polymorph in meV per atom: 201
Spin magnetization in μB per atom: 0.438
D(E_F) in states/eV/atom: 0.92

Structure (POSCAR):
```
PaH3
1.0
-1.602 2.918 -0.340
-2.764 -1.365 1.303
0.997 0.905 3.063
H Pa
3 1
Direct
0.000 0.500 0.417
0.500 0.500 0.916
0.500 0.000 0.417
0.000 0.000 0.917
```